An optimized crystal structure of Ce2Si3, computed with GGA-PBEsol.

Cell lengths 3.892, 4.074, 7.442 Å; angles 105.88, 105.16, 90.00 degrees
Sites, in units of the cell vectors:
1 Si 0.299 0.799 0.599
2 Si 0.535 0.535 0.071
3 Si 0.704 0.704 0.408
4 Ce 0.872 0.372 0.745
5 Ce 0.124 0.124 0.249

raw total energy	-6.654	eV/atom
N(E_F)	8.4	states/eV per cell